1.
Density functional theory data (GGA-PBEsol) for GaPb3 after structural relaxation.

Lattice parameters (Å, degrees): 4.911 4.911 9.039 90.00 90.00 90.00
Space group I4/mmm (No. 139)
Unique sites:
Ga (0.000, 0.000, 0.000)
Pb (0.000, 0.000, 0.500)
Pb (0.000, 0.500, 0.250)

Values from the calculation:
- energy relative to the lowest polymorph listed for this composition (kcal/mol of atoms) = 0.00
- raw total energy (eV/atom) = -3.77
- ΔH_f (0 K) (eV per atom) = 0.0640
- spin magnetization (μB/f.u.) = 0.0
- V (Å³/atom) = 27.25


2.
Density functional theory data (GGA-PBEsol) for LiZrAl2 after structural relaxation.

Lattice parameters (Å, degrees): 3.076 3.076 7.066 90.00 90.00 90.00
Space group P4/mmm (No. 123)
Unique sites:
Li (0.000, 0.000, 0.000)
Zr (0.000, 0.000, 0.500)
Al (0.500, 0.500, 0.217)

Values from the calculation:
- raw total energy (eV/atom) = -5.13
- ΔH_f (0 K) (eV per atom) = -0.3216
- spin magnetization (μB/f.u.) = 0.0
- V (Å³/atom) = 16.71


3.
Density functional theory data (GGA-PBEsol) for NaAsN2 after structural relaxation.

Lattice parameters (Å, degrees): 3.7985 3.7985 17.4586 90.00 90.00 120.00
Space group R-3m (No. 166, hexagonal axes)
Unique sites:
Na (0.0000, 0.0000, 0.0000)
As (0.0000, 0.0000, 0.5000)
N (0.0000, 0.0000, 0.4048)

Values from the calculation:
- raw total energy (eV/atom) = -5.21
- spin magnetization (μB/f.u.) = 0.0
- formation energy (no corrections) (eV/atom) = 0.684
- V (Å³/atom) = 18.18


4.
Density functional theory data (GGA-PBEsol) for DyMoClO4 after structural relaxation.

Lattice parameters (Å, degrees): 10.152 7.212 6.771 90.00 107.39 90.00
Space group C2/m (No. 12)
Unique sites:
Dy (0.222, 0.000, 0.109)
Mo (0.138, 0.500, 0.268)
Cl (0.008, 0.000, 0.763)
O (0.042, 0.500, 0.800)
O (0.201, 0.310, 0.153)
O (0.206, 0.500, 0.536)

Values from the calculation:
- raw total energy (eV/atom) = -8.21
- spin magnetization (μB/f.u.) = 0.0
- formation energy (no corrections) (eV/atom) = -2.528
- V (Å³/atom) = 16.90


5.
Density functional theory data (GGA-PBEsol) for CaZnSi2 after structural relaxation.

Lattice parameters (Å, degrees): 8.024 3.733 5.432 90.00 107.66 90.00
Space group C2/m (No. 12)
Unique sites:
Ca (0.000, 0.000, 0.000)
Zn (0.000, 0.500, 0.500)
Si (0.238, 0.000, 0.646)

Values from the calculation:
- raw total energy (eV/atom) = -4.02
- spin magnetization (μB/f.u.) = 0.0
- formation energy (no corrections) (eV/atom) = -0.216
- V (Å³/atom) = 19.38


6.
Density functional theory data (GGA-PBEsol) for KSr2HfPd after structural relaxation.

Lattice parameters (Å, degrees): 6.063 6.063 5.082 90.00 90.00 90.00
Space group P4/mmm (No. 123)
Unique sites:
K (0.000, 0.000, 0.000)
Sr (0.000, 0.500, 0.500)
Hf (0.500, 0.500, 0.000)
Pd (0.500, 0.500, 0.500)

Values from the calculation:
- raw total energy (eV/atom) = -4.06
- ΔH_f (0 K) (eV per atom) = 0.1927
- spin magnetization (μB/f.u.) = 0.0
- V (Å³/atom) = 37.36


7.
Density functional theory data (GGA-PBEsol) for AlSbOs2 after structural relaxation.

Lattice parameters (Å, degrees): 2.9820 2.9820 25.3428 90.00 90.00 120.00
Space group R3m (No. 160, hexagonal axes)
Unique sites:
Al (0.0000, 0.0000, 0.0000)
Sb (0.0000, 0.0000, 0.7610)
Os (0.0000, 0.0000, 0.2594)
Os (0.0000, 0.0000, 0.5120)

Values from the calculation:
- energy relative to the lowest polymorph listed for this composition (kcal/mol of atoms) = 4.49
- raw total energy (eV/atom) = -7.88
- spin magnetization (μB/f.u.) = 0.0
- formation energy (no corrections) (eV/atom) = 0.392
- V (Å³/atom) = 16.26


8.
Density functional theory data (GGA-PBEsol) for KTc2Rh after structural relaxation.

Lattice parameters (Å, degrees): 2.628 4.932 10.583 90.00 90.00 90.00
Space group Immm (No. 71)
Unique sites:
K (0.000, 0.000, 0.000)
Tc (0.000, 0.500, 0.211)
Rh (0.000, 0.000, 0.500)

Values from the calculation:
- raw total energy (eV/atom) = -7.00
- ΔH_f (0 K) (eV per atom) = 0.9546
- spin magnetization (μB/f.u.) = 0.0
- V (Å³/atom) = 17.15


9.
Density functional theory data (GGA-PBEsol) for Na2AlCdCl after structural relaxation.

Lattice parameters (Å, degrees): 5.857 5.857 5.053 90.00 90.00 90.00
Space group P4/mmm (No. 123)
Unique sites:
Na (0.000, 0.500, 0.000)
Al (0.000, 0.000, 0.000)
Cd (0.500, 0.500, 0.500)
Cl (0.000, 0.000, 0.500)

Values from the calculation:
- raw total energy (eV/atom) = -1.93
- spin magnetization (μB/f.u.) = 0.0
- formation energy (no corrections) (eV/atom) = 0.089
- V (Å³/atom) = 34.67


10.
Density functional theory data (GGA-PBEsol) for La2CdCo after structural relaxation.

Lattice parameters (Å, degrees): 3.798 3.550 7.332 90.00 99.23 90.00
Space group P2/m (No. 10)
Unique sites:
La (0.092, 0.000, 0.293)
Cd (0.500, 0.500, 0.000)
Co (0.500, 0.500, 0.500)

Values from the calculation:
- raw total energy (eV/atom) = -5.04
- ΔH_f (0 K) (eV per atom) = -0.1328
- spin magnetization (μB/f.u.) = 0.0
- V (Å³/atom) = 24.40


11.
Density functional theory data (GGA-PBEsol) for TaInFe2 after structural relaxation.

Lattice parameters (Å, degrees): 3.048 3.048 6.049 90.00 90.00 90.00
Space group P4/mmm (No. 123)
Unique sites:
Ta (0.000, 0.000, 0.000)
In (0.000, 0.000, 0.500)
Fe (0.500, 0.500, 0.230)

Values from the calculation:
- raw total energy (eV/atom) = -8.43
- ΔH_f (0 K) (eV per atom) = -0.0671
- spin magnetization (μB/f.u.) = 0.0
- V (Å³/atom) = 14.05


12.
Density functional theory data (GGA-PBEsol) for LiTl2Ag after structural relaxation.

Lattice parameters (Å, degrees): 3.283 4.746 5.692 90.00 105.66 90.00
Space group Pm (No. 6)
Unique sites:
Li (0.000, 0.000, 0.000)
Tl (0.274, 0.000, 0.534)
Tl (0.587, 0.500, 0.186)
Ag (0.866, 0.500, 0.729)

Values from the calculation:
- energy relative to the lowest polymorph listed for this composition (kcal/mol of atoms) = 0.84
- raw total energy (eV/atom) = -2.69
- ΔH_f (0 K) (eV per atom) = -0.0565
- spin magnetization (μB/f.u.) = 0.0
- V (Å³/atom) = 21.35


Question: What is the raw total energy in the fifth record?
Answer: -4.02 eV/atom


Question: Which of these has the lowest raw total energy?
Answer: TaInFe2


Question: Which formula does entry 9 have?
Answer: Na2AlCdCl